VASP calculation (PBE-GGA) on crystalline FeCu2Ru at its relaxed geometry.

The calculated density comes out at 9.31 g cm⁻³. The energy relative to the lowest polymorph listed for this composition is 64 meV per atom.

Geometry as CIF:
```
data_FeCu2Ru
_cell_length_a 3.5909
_cell_length_b 3.5909
_cell_length_c 3.9277
_cell_angle_alpha 90.00
_cell_angle_beta 90.00
_cell_angle_gamma 90.00
_symmetry_space_group_name_H-M 'P 1'
_symmetry_Int_Tables_number 1
_symmetry_space_group_name_Hall 'P 1'
loop_
_atom_site_label
_atom_site_type_symbol
_atom_site_fract_x
_atom_site_fract_y
_atom_site_fract_z
_atom_site_occupancy
Fe1 Fe 0.0000 0.0000 0.0000 1
Cu1 Cu 0.0000 0.5000 0.5000 1
Cu2 Cu 0.5000 0.0000 0.5000 1
Ru1 Ru 0.5000 0.5000 0.0000 1
```